First-principles (PBE) data for a geometry-optimized La3BeNi3 structure, as listed in the Alexandria database.

Summary:
Spin magnetization: 0.0 μB/f.u.
Energy: -75.46 eV per cell
Mass density: 6.978 g cm⁻³

Cell lengths 5.6147, 5.6147, 13.9525 Å; angles 90.00, 90.00, 139.37 degrees
Fractional coordinates of all 14 atoms:
La1 0.0106 0.9894 0.7500
La2 0.2679 0.7321 0.1046
La3 0.2679 0.7321 0.3955
La4 0.7321 0.2679 0.6046
La5 0.7321 0.2679 0.8954
La6 0.9894 0.0106 0.2500
Be1 0.0000 0.0000 0.0000
Be2 0.0000 0.0000 0.5000
Ni1 0.3117 0.6883 0.7500
Ni2 0.4452 0.5548 0.5785
Ni3 0.4452 0.5548 0.9215
Ni4 0.5548 0.4452 0.0785
Ni5 0.5548 0.4452 0.4215
Ni6 0.6883 0.3117 0.2500

***

First-principles (PBE) data for a geometry-optimized Hg2Sb2Pb3Au4 structure, as listed in the Alexandria database.

Summary:
ΔE_f (raw): 0.04 eV/atom
Spin magnetization: 0.0 μB/f.u.
Mass density: 12.015 g cm⁻³

Cell lengths 14.3723, 14.3723, 14.3723 Å; angles 161.98, 161.98, 25.59 degrees
Fractional coordinates of all 11 atoms:
Hg1 0.1889 0.1889 0.0000
Hg2 0.8111 0.8111 0.0000
Sb1 0.0553 0.0553 0.0000
Sb2 0.9447 0.9447 0.0000
Pb1 0.3014 0.3014 0.0000
Pb2 0.5000 0.5000 0.0000
Pb3 0.6986 0.6986 0.0000
Au1 0.1165 0.6165 0.5000
Au2 0.3835 0.8835 0.5000
Au3 0.6165 0.1165 0.5000
Au4 0.8835 0.3835 0.5000

***

First-principles (PBE) data for a geometry-optimized PmMg2Cd6 structure, as listed in the Alexandria database.

Summary:
Spin magnetization: 0.0 μB/f.u.
Relative energy among the computed polymorphs: 0 meV/atom
Mass density: 6.606 g cm⁻³

Cell lengths 9.8140, 9.8140, 4.8415 Å; angles 90.00, 90.00, 69.37 degrees
Fractional coordinates of all 18 atoms:
Pm1 0.1783 0.8217 0.7500
Pm2 0.8217 0.1783 0.2500
Mg1 0.0563 0.3811 0.2500
Mg2 0.3811 0.0563 0.7500
Mg3 0.6189 0.9437 0.2500
Mg4 0.9437 0.6189 0.7500
Cd1 0.0486 0.1951 0.7500
Cd2 0.1951 0.0486 0.2500
Cd3 0.2464 0.4067 0.7500
Cd4 0.2460 0.5747 0.2500
Cd5 0.4067 0.2464 0.2500
Cd6 0.4253 0.7540 0.2500
Cd7 0.5747 0.2460 0.7500
Cd8 0.5933 0.7536 0.7500
Cd9 0.7540 0.4253 0.7500
Cd10 0.7536 0.5933 0.2500
Cd11 0.8049 0.9514 0.7500
Cd12 0.9514 0.8049 0.2500